Record 1
! NiH2Cl8, optimized geometry, DFT PBE; values from VASP
! * space-group type: C2/m
! * spin magnetization: 0.000 μB/atom
! * raw total energy: -27.391 eV per formula unit
&SYSTEM
  ibrav = 0, nat = 11, ntyp = 3
/
ATOMIC_SPECIES
Ni 58.69 Ni.upf
H 1.01 H.upf
Cl 35.45 Cl.upf
CELL_PARAMETERS angstrom
4.4373 -5.1190 0.0000
4.4373 5.1190 0.0000
-0.5098 0.0000 5.6998
ATOMIC_POSITIONS crystal
Ni 0.0000 0.0000 0.0000
H 0.2251 0.2251 0.4260
H 0.7749 0.7749 0.5740
Cl 0.0346 0.7370 0.7651
Cl 0.2013 0.2013 0.7859
Cl 0.2630 0.9654 0.2349
Cl 0.4044 0.4044 0.3654
Cl 0.5956 0.5956 0.6346
Cl 0.7370 0.0346 0.7651
Cl 0.7987 0.7987 0.2141
Cl 0.9654 0.2630 0.2349

=====

Record 2
! K2SrIn9, optimized geometry, DFT PBE; values from VASP
! * space-group type: R-3m
! * spin magnetization: 0.000 μB/atom
! * raw total energy: -30.401 eV per formula unit
! * ΔH_f (0 K): -0.157 eV per atom
&SYSTEM
  ibrav = 0, nat = 12, ntyp = 3
/
ATOMIC_SPECIES
K 39.10 K.upf
Sr 87.62 Sr.upf
In 114.82 In.upf
CELL_PARAMETERS angstrom
3.1827 1.8375 10.5200
-3.1827 1.8375 10.5200
0.0000 -3.6751 10.5200
ATOMIC_POSITIONS crystal
K 0.1431 0.1431 0.1431
K 0.8569 0.8569 0.8569
Sr 0.0000 0.0000 0.0000
In 0.0776 0.5855 0.5855
In 0.3355 0.3355 0.3355
In 0.4145 0.4145 0.9224
In 0.4145 0.9224 0.4145
In 0.5000 0.5000 0.5000
In 0.5855 0.0776 0.5855
In 0.5855 0.5855 0.0776
In 0.6645 0.6645 0.6645
In 0.9224 0.4145 0.4145

=====

Record 3
! CeNdDy4Tm2, optimized geometry, DFT PBE; values from VASP
! * space-group type: Pmmm
! * spin magnetization: 0.135 μB/atom
! * raw total energy: -37.656 eV per formula unit
! * ΔH_f (0 K): 0.050 eV per atom
&SYSTEM
  ibrav = 0, nat = 8, ntyp = 4
/
ATOMIC_SPECIES
Ce 140.12 Ce.upf
Nd 144.24 Nd.upf
Dy 162.50 Dy.upf
Tm 168.93 Tm.upf
CELL_PARAMETERS angstrom
5.0112 0.0000 0.0000
0.0000 5.0230 0.0000
0.0000 0.0000 10.0149
ATOMIC_POSITIONS crystal
Ce 0.0000 0.0000 0.0000
Nd 0.5000 0.5000 0.5000
Dy 0.0000 0.5000 0.2466
Dy 0.0000 0.5000 0.7534
Dy 0.5000 0.0000 0.2471
Dy 0.5000 0.0000 0.7529
Tm 0.0000 0.0000 0.5000
Tm 0.5000 0.5000 0.0000

=====

Record 4
! AgAsPdBr2, optimized geometry, DFT PBE; values from VASP
! * energy relative to the lowest polymorph listed for this composition: 0 meV per atom
! * space-group type: P4/mmm
! * spin magnetization: 0.168 μB/atom
! * raw total energy: -12.453 eV per formula unit
! * energy relative to the elements, uncorrected: 717 meV per atom
&SYSTEM
  ibrav = 0, nat = 5, ntyp = 4
/
ATOMIC_SPECIES
Ag 107.87 Ag.upf
As 74.92 As.upf
Pd 106.42 Pd.upf
Br 79.90 Br.upf
CELL_PARAMETERS angstrom
5.2831 0.0000 0.0000
0.0000 5.2831 0.0000
0.0000 0.0000 5.0337
ATOMIC_POSITIONS crystal
Ag 0.0000 0.0000 0.0000
As 0.0000 0.0000 0.5000
Pd 0.5000 0.5000 0.5000
Br 0.0000 0.5000 0.0000
Br 0.5000 0.0000 0.0000

=====

Record 5
! Hf6MgIr, optimized geometry, DFT PBE; values from VASP
! * space-group type: C2/m
! * spin magnetization: 0.000 μB/atom
! * raw total energy: -70.954 eV per formula unit
! * ΔH_f (0 K): -0.097 eV per atom
&SYSTEM
  ibrav = 0, nat = 8, ntyp = 3
/
ATOMIC_SPECIES
Hf 178.49 Hf.upf
Mg 24.30 Mg.upf
Ir 192.22 Ir.upf
CELL_PARAMETERS angstrom
3.4209 -4.6323 0.0000
3.4209 4.6323 0.0000
-0.7563 0.0000 5.3260
ATOMIC_POSITIONS crystal
Hf 0.0318 0.6275 0.2707
Hf 0.1495 0.1495 0.2635
Hf 0.3725 0.9682 0.7293
Hf 0.6275 0.0318 0.2707
Hf 0.8505 0.8505 0.7365
Hf 0.9682 0.3725 0.7293
Mg 0.5000 0.5000 0.0000
Ir 0.5000 0.5000 0.5000

=====

Record 6
! UTaTe, optimized geometry, DFT PBE; values from VASP
! * space-group type: Cm
! * spin magnetization: 0.035 μB/atom
! * raw total energy: -25.786 eV per formula unit
! * energy relative to the elements, uncorrected: 165 meV per atom
&SYSTEM
  ibrav = 0, nat = 6, ntyp = 3
/
ATOMIC_SPECIES
U 238.03 U.upf
Ta 180.95 Ta.upf
Te 127.60 Te.upf
CELL_PARAMETERS angstrom
4.5890 -1.4794 0.0000
4.5890 1.4794 0.0000
-4.0528 0.0000 11.3822
ATOMIC_POSITIONS crystal
U 0.0000 0.0000 0.0000
U 0.1875 0.1875 0.8821
Ta 0.5438 0.5438 0.6235
Ta 0.8556 0.8556 0.7325
Te 0.3511 0.3511 0.1673
Te 0.7657 0.7657 0.4742

=====

Record 7
! CsMgScAg2, optimized geometry, DFT PBE; values from VASP
! * space-group type: P4/mmm
! * spin magnetization: 0.360 μB/atom
! * raw total energy: -7.271 eV per formula unit
! * ΔH_f (0 K): 1.442 eV per atom
&SYSTEM
  ibrav = 0, nat = 5, ntyp = 4
/
ATOMIC_SPECIES
Cs 132.91 Cs.upf
Mg 24.30 Mg.upf
Sc 44.96 Sc.upf
Ag 107.87 Ag.upf
CELL_PARAMETERS angstrom
5.8021 0.0000 0.0000
0.0000 5.8021 0.0000
0.0000 0.0000 5.7384
ATOMIC_POSITIONS crystal
Cs 0.0000 0.0000 0.0000
Mg 0.5000 0.5000 0.5000
Sc 0.0000 0.0000 0.5000
Ag 0.0000 0.5000 0.0000
Ag 0.5000 0.0000 0.0000

=====

Record 8
! Sm4TlIn2, optimized geometry, DFT PBE; values from VASP
! * energy relative to the lowest polymorph listed for this composition: 0 meV per atom
! * space-group type: R-3m
! * spin magnetization: 0.000 μB/atom
! * raw total energy: -28.758 eV per formula unit
! * ΔH_f (0 K): -0.291 eV per atom
&SYSTEM
  ibrav = 0, nat = 7, ntyp = 3
/
ATOMIC_SPECIES
Sm 150.36 Sm.upf
Tl 204.38 Tl.upf
In 114.82 In.upf
CELL_PARAMETERS angstrom
2.6825 1.5487 8.7325
-2.6825 1.5487 8.7325
0.0000 -3.0975 8.7325
ATOMIC_POSITIONS crystal
Sm 0.1188 0.1188 0.1188
Sm 0.3712 0.3712 0.3712
Sm 0.6288 0.6288 0.6288
Sm 0.8812 0.8812 0.8812
Tl 0.5000 0.5000 0.5000
In 0.2497 0.2497 0.2497
In 0.7503 0.7503 0.7503

=====

Q: Number 7 is which compound?
A: CsMgScAg2